19
Lattice="-7.0571 1.0020 4.9328 2.0882 -6.9794 4.6975 4.4204 4.8993 5.6210" Properties=species:S:1:pos:R:3 comment="Nd12DyEr6, optimized geometry, DFT GGA-PBE" dos_at_fermi_per_ev_atom=1.714 e_above_lowest_polymorph_ev_per_atom=0.115 sg="No. 148" pbc="T T T"
Nd -2.4826 -0.8345 8.8120
Nd 0.9436 -2.3966 8.8248
Nd 0.5783 1.3428 9.0760
Nd 1.9341 -0.2436 6.4393
Nd -1.4921 1.3185 6.4265
Nd -1.1268 -2.4209 6.1753
Nd 1.8829 0.4501 3.0410
Nd -0.0235 1.1768 12.4882
Nd 1.1248 -2.2630 12.2863
Nd -2.4313 -1.5282 12.2104
Nd -0.5249 -2.2549 2.7631
Nd -1.6733 1.1849 2.9650
Dy 0.0000 0.0000 0.0000
Er -2.0442 -4.0914 9.5475
Er -3.9888 -0.6112 5.2503
Er 1.9102 -3.5479 5.2549
Er 1.4957 3.0133 5.7038
Er 3.4403 -0.4669 10.0010
Er -2.4586 2.4698 9.9964

=====

12
Lattice="-4.9333 4.6355 -2.2332 -8.1510 -0.0042 -4.7209 -5.3307 -2.5472 6.4855" Properties=species:S:1:pos:R:3 comment="NdDy4Er7, optimized geometry, DFT GGA-PBE" dos_at_fermi_per_ev_atom=1.368 e_above_lowest_polymorph_ev_per_atom=0.000 sg="No. 2" pbc="T T T"
Nd 0.0000 0.0000 0.0000
Dy -10.2740 1.5985 -2.4107
Dy -8.1409 0.4857 1.9421
Dy -13.4564 1.6460 -0.9691
Dy -4.9586 0.4381 0.5005
Er -13.1052 0.9284 2.4490
Er -5.3097 1.1558 -2.9176
Er -10.6154 2.8102 0.8276
Er -7.7995 -0.7260 -1.2962
Er -10.9876 -0.6698 0.1469
Er -2.4666 2.3178 -1.1166
Er -7.4273 2.7539 -0.6155

=====

13
Lattice="5.6704 0.0000 0.7679 0.0000 7.7191 0.0000 -1.3729 -3.8595 10.1180" Properties=species:S:1:pos:R:3 comment="Nd8Dy2Er3, optimized geometry, DFT GGA-PBE" dos_at_fermi_per_ev_atom=1.417 sg="No. 12" pbc="T T T"
Nd -0.4717 3.8595 3.5025
Nd 4.7691 0.0000 7.3834
Nd -0.3580 0.0000 2.6427
Nd 4.6554 3.8595 8.2432
Nd 1.7493 1.5788 8.3689
Nd 1.7493 -1.5788 8.3689
Nd 2.5482 5.4383 2.5170
Nd 2.5482 2.2808 2.5170
Dy 2.1743 0.0000 5.2321
Dy 2.1232 3.8595 5.6538
Er 2.8352 0.0000 0.3840
Er 0.0000 2.2026 0.0000
Er 0.0000 5.5164 0.0000

=====

16
Lattice="5.0447 0.0000 0.0000 0.0000 7.1452 0.0000 0.0000 0.0000 14.2906" Properties=species:S:1:pos:R:3 comment="Nd2Dy5Er, optimized geometry, DFT GGA-PBE" dos_at_fermi_per_ev_atom=1.356 e_above_lowest_polymorph_ev_per_atom=0.000 sg="No. 55" pbc="T T T"
Nd 2.5223 1.7829 8.9291
Nd 2.5223 5.3624 5.3616
Nd 2.5223 1.7898 1.7837
Nd 2.5223 5.3555 12.5069
Dy 0.0000 0.0000 0.0000
Dy 0.0000 3.5726 7.1453
Dy 0.0000 3.5694 10.7200
Dy 0.0000 3.5759 3.5706
Dy 0.0000 0.0033 3.5747
Dy 0.0000 7.1420 10.7159
Dy 2.5223 1.7825 12.5042
Dy 2.5223 5.3627 1.7864
Dy 2.5223 1.7901 5.3589
Dy 2.5223 5.3552 8.9317
Er 0.0000 0.0000 7.1453
Er 0.0000 3.5726 0.0000

=====

16
Lattice="5.1549 0.0000 0.0000 0.0000 5.1549 0.0000 0.0000 0.0000 20.5622" Properties=species:S:1:pos:R:3 comment="Nd12Dy3Er, optimized geometry, DFT GGA-PBE" dos_at_fermi_per_ev_atom=1.519 sg="No. 123" pbc="T T T"
Nd 2.5774 2.5774 0.0000
Nd 2.5774 2.5774 5.1302
Nd 2.5774 2.5774 10.2811
Nd 2.5774 2.5774 15.4320
Nd 2.5774 0.0000 2.5596
Nd 2.5774 0.0000 7.7053
Nd 2.5774 0.0000 12.8570
Nd 2.5774 0.0000 18.0027
Nd 0.0000 2.5774 2.5596
Nd 0.0000 2.5774 7.7053
Nd 0.0000 2.5774 12.8570
Nd 0.0000 2.5774 18.0027
Dy 0.0000 0.0000 5.1309
Dy 0.0000 0.0000 10.2811
Dy 0.0000 0.0000 15.4313
Er 0.0000 0.0000 0.0000

=====

11
Lattice="-0.2910 1.3664 -5.3163 -2.5439 -7.4981 -1.7879 -6.1085 5.3785 4.5584" Properties=species:S:1:pos:R:3 comment="NdDy8Er2, optimized geometry, DFT GGA-PBE" dos_at_fermi_per_ev_atom=1.411 e_above_lowest_polymorph_ev_per_atom=0.000 sg="No. 71" pbc="T T T"
Nd -0.1455 0.6832 -2.6582
Dy -4.0417 -3.9672 -3.6401
Dy -5.9519 0.1220 0.3571
Dy -2.4653 0.7569 0.3295
Dy -7.1511 4.5280 -1.2865
Dy -6.4781 -1.5101 -2.8752
Dy -2.9915 -0.8753 -2.9029
Dy -4.9017 3.2139 1.0943
Dy -1.7923 -5.2812 -1.2592
Er -4.2741 -2.8258 -0.4923
Er -4.6693 2.0726 -2.0535

=====

12
Lattice="-0.6294 -1.7183 4.6704 6.9613 -2.7879 2.6061 4.3848 7.5726 6.0707" Properties=species:S:1:pos:R:3 comment="Nd2Dy5Er5, optimized geometry, DFT GGA-PBE" dos_at_fermi_per_ev_atom=1.429 sg="No. 12" pbc="T T T"
Nd 5.6100 2.9317 9.9158
Nd 5.1066 0.1347 3.4314
Dy 5.3583 1.5332 6.6736
Dy 6.4893 6.0717 8.4958
Dy 7.2346 -1.3792 5.8549
Dy 3.4821 4.4456 7.4923
Dy 4.2274 -3.0053 4.8514
Er 7.4874 0.0281 9.1005
Er 8.3693 3.1568 7.6767
Er 2.3473 -0.0905 5.6705
Er 3.2292 3.0383 4.2467
Er 0.0000 0.0000 0.0000

=====

11
Lattice="-2.9668 3.3929 1.3860 1.2021 -0.7837 4.4917 13.0222 9.8434 -4.2428" Properties=species:S:1:pos:R:3 comment="Nd2Dy3Er6, optimized geometry, DFT GGA-PBE" dos_at_fermi_per_ev_atom=1.520 e_above_lowest_polymorph_ev_per_atom=0.086 sg="No. 139" pbc="T T T"
Nd 11.0155 10.1155 -1.1832
Nd 0.2420 2.3371 2.8181
Dy 0.0000 0.0000 0.0000
Dy 6.3570 7.9524 2.1613
Dy 4.9006 4.5002 -0.5264
Er 3.5706 2.3351 1.9269
Er 1.4862 4.4234 0.3741
Er 7.6869 10.1175 -0.2920
Er 9.7714 8.0292 1.2609
Er 3.8534 5.6534 2.4302
Er 7.4042 6.7992 -0.7953

=====

One value per record, in order, for DFT total energy: -86.68 -55.12 -58.42 -73.92 -75.37 -49.44 -55.11 -47.74 eV/cell.